4
Lattice="0.0000 3.3758 3.3758 3.3758 0.0000 3.3758 3.3758 3.3758 0.0000" Properties=species:S:1:pos:R:3 comment="PBE HfPaTiOs, optimized geometry" dft_energy_ev_per_atom=-9.82 formation_enthalpy_0k_kj_per_mol_atoms=-17 pbc="T T T"
Hf 0.0000 0.0000 0.0000
Pa 3.3758 3.3758 3.3758
Ti 5.0636 5.0636 5.0636
Os 1.6879 1.6879 1.6879

4
Lattice="0.0000 3.6842 3.6842 3.6842 0.0000 3.6842 3.6842 3.6842 0.0000" Properties=species:S:1:pos:R:3 comment="PBE Ca2IrI, optimized geometry" e_form_raw_ev_per_fu=-1.50 dft_energy_ev_per_atom=-3.98 polymorph_energy_mev_per_atom=0.0 pbc="T T T"
Ca 1.8421 1.8421 1.8421
Ca 5.5264 5.5264 5.5264
Ir 0.0000 0.0000 0.0000
I 3.6842 3.6842 3.6842

5
Lattice="5.4337 0.0000 0.0000 0.0000 5.4337 0.0000 0.0000 0.0000 5.4337" Properties=species:S:1:pos:R:3 comment="PBE NaCd3Mo, optimized geometry" dft_energy_ev_per_atom=-2.27 formation_enthalpy_0k_kj_per_mol_atoms=68 polymorph_energy_mev_per_atom=0.0 pbc="T T T"
Na 0.0000 0.0000 0.0000
Cd 0.0000 2.7169 2.7169
Cd 2.7169 0.0000 2.7169
Cd 2.7169 2.7169 0.0000
Mo 2.7169 2.7169 2.7169

40
Lattice="10.1980 0.0000 0.0000 0.0000 10.1980 0.0000 0.0000 0.0000 10.1980" Properties=species:S:1:pos:R:3 comment="PBE Eu3Rh4Pb13, optimized geometry" dft_energy_ev_per_atom=-5.72 formation_enthalpy_0k_kj_per_mol_atoms=-29 pbc="T T T"
Eu 0.0000 2.5495 5.0990
Eu 0.0000 7.6485 5.0990
Eu 2.5495 5.0990 0.0000
Eu 5.0990 0.0000 2.5495
Eu 5.0990 0.0000 7.6485
Eu 7.6485 5.0990 0.0000
Rh 2.5495 2.5495 2.5495
Rh 2.5495 2.5495 7.6485
Rh 2.5495 7.6485 2.5495
Rh 2.5495 7.6485 7.6485
Rh 7.6485 2.5495 2.5495
Rh 7.6485 2.5495 7.6485
Rh 7.6485 7.6485 2.5495
Rh 7.6485 7.6485 7.6485
Pb 0.0000 0.0000 0.0000
Pb 0.0000 3.1104 1.5861
Pb 0.0000 3.1104 8.6119
Pb 0.0000 7.0875 1.5861
Pb 0.0000 7.0875 8.6119
Pb 1.5861 0.0000 3.1104
Pb 1.5861 0.0000 7.0875
Pb 1.9885 5.0990 3.5129
Pb 1.9885 5.0990 6.6851
Pb 3.1104 1.5861 0.0000
Pb 3.1104 8.6119 0.0000
Pb 3.5129 1.9885 5.0990
Pb 3.5129 8.2094 5.0990
Pb 5.0990 3.5129 1.9885
Pb 5.0990 3.5129 8.2094
Pb 5.0990 5.0990 5.0990
Pb 5.0990 6.6851 1.9885
Pb 5.0990 6.6851 8.2094
Pb 6.6851 1.9885 5.0990
Pb 6.6851 8.2094 5.0990
Pb 7.0875 1.5861 0.0000
Pb 7.0875 8.6119 0.0000
Pb 8.2094 5.0990 3.5129
Pb 8.2094 5.0990 6.6851
Pb 8.6119 0.0000 3.1104
Pb 8.6119 0.0000 7.0875

12
Lattice="3.0210 -5.2317 0.0000 3.0210 5.2317 0.0000 -2.0090 0.0000 11.4166" Properties=species:S:1:pos:R:3 comment="PBE LaHo6Tm3Sc2, optimized geometry" dft_energy_ev_per_atom=-4.83 formation_enthalpy_0k_kj_per_mol_atoms=4 pbc="T T T"
La 0.0000 0.0000 0.0000
Ho 1.0198 1.7604 2.8488
Ho 0.0231 0.0000 8.5653
Ho 1.0198 -1.7604 2.8488
Ho 3.0132 1.7604 8.5678
Ho 4.0098 0.0000 2.8513
Ho 3.0132 -1.7604 8.5678
Tm 2.0165 3.4799 5.7083
Tm 2.0165 0.0000 5.7083
Tm 2.0165 -3.4799 5.7083
Sc 3.0210 1.7437 0.0000
Sc 3.0210 -1.7437 0.0000

10
Lattice="-3.9189 3.9189 5.5615 3.9189 -3.9189 5.5615 3.9189 3.9189 -5.5615" Properties=species:S:1:pos:R:3 comment="PBE Cs2ZrNCl6, optimized geometry" e_form_raw_ev_per_fu=-12.59 dft_energy_ev_per_atom=-4.23 pbc="T T T"
Cs 3.9189 0.0000 2.7807
Cs 0.0000 3.9189 2.7807
Zr 0.0000 0.0000 0.0000
N 0.0000 0.0000 5.5615
Cl 0.0000 0.0000 2.4911
Cl 1.7614 1.7614 0.0000
Cl 2.1575 -2.1575 5.5615
Cl -2.1575 2.1575 5.5615
Cl 2.1575 2.1575 5.5615
Cl 0.0000 0.0000 8.6318

3
Lattice="4.7536 0.0000 0.0000 -2.3768 4.1167 0.0000 0.0000 0.0000 3.3359" Properties=species:S:1:pos:R:3 comment="PBE CeErOs, optimized geometry" dft_energy_ev_per_atom=-7.25 formation_enthalpy_0k_kj_per_mol_atoms=-1 polymorph_energy_mev_per_atom=168.6 pbc="T T T"
Ce 0.0000 0.0000 0.0000
Er 2.3768 1.3722 1.3047
Os 0.0000 2.7445 2.3587

5
Lattice="5.3927 0.0000 0.0000 0.0000 5.3927 0.0000 0.0000 0.0000 5.3927" Properties=species:S:1:pos:R:3 comment="PBE LiTiTe3, optimized geometry" e_form_raw_ev_per_fu=-1.66 dft_energy_ev_per_atom=-4.18 polymorph_energy_mev_per_atom=261.9 pbc="T T T"
Li 0.0000 0.0000 0.0000
Ti 2.6964 2.6964 2.6964
Te 0.0000 2.6964 2.6964
Te 2.6964 0.0000 2.6964
Te 2.6964 2.6964 0.0000

6
Lattice="2.9410 0.0000 0.0000 0.0000 2.9410 0.0000 0.0000 0.0000 4.1661" Properties=species:S:1:pos:R:3 comment="PBE VCrH4, optimized geometry" dft_energy_ev_per_atom=-5.47 polymorph_energy_mev_per_atom=0.0 pbc="T T T"
V 0.0000 0.0000 0.0000
Cr 1.4705 1.4705 2.0830
H 0.0000 1.4705 1.0762
H 0.0000 1.4705 3.0898
H 1.4705 0.0000 1.0762
H 1.4705 0.0000 3.0898

8
Lattice="-1.9838 3.5442 7.6625 1.9838 -3.5442 7.6625 1.9838 3.5442 -7.6625" Properties=species:S:1:pos:R:3 comment="PBE Ca3PbAu4, optimized geometry" dft_energy_ev_per_atom=-3.44 formation_enthalpy_0k_kj_per_mol_atoms=-57 polymorph_energy_mev_per_atom=90.4 pbc="T T T"
Ca 0.0000 0.0000 0.0000
Ca 1.9838 0.0000 4.7331
Ca 0.0000 3.5442 2.9294
Pb 0.0000 0.0000 7.6625
Au 1.9838 1.3817 -2.0042
Au 1.9838 1.3817 2.0042
Au 0.0000 2.1625 5.6583
Au 0.0000 2.1625 9.6667

4
Lattice="4.8145 0.0000 0.0000 0.0000 5.1131 0.0000 -0.0071 0.0000 5.6470" Properties=species:S:1:pos:R:3 comment="PBE BaSb2Au, optimized geometry" e_form_raw_ev_per_fu=-1.97 dft_energy_ev_per_atom=-3.85 pbc="T T T"
Ba 0.0000 0.0000 0.0000
Sb 2.3984 0.0000 2.8232
Sb 2.4161 2.5566 1.2396
Au 2.3878 2.5566 4.1763

3
Lattice="-1.5711 2.2721 6.6908 1.5711 -2.2721 6.6908 1.5711 2.2721 -6.6908" Properties=species:S:1:pos:R:3 comment="PBE LiHgTe, optimized geometry" e_form_raw_ev_per_fu=-1.17 dft_energy_ev_per_atom=-2.18 polymorph_energy_mev_per_atom=22.7 pbc="T T T"
Li 0.0000 0.0000 0.0000
Hg 0.0000 0.0000 10.5866
Te 0.0000 0.0000 7.3950

Listing density for the structures above in their given order: 13.977, 6.629, 4.721, 11.151, 7.938, 2.837, 12.658, 4.634, 4.929, 8.594, 6.902, 5.825 g/cm3.